This record from the Open Quantum Materials Database describes LiSmMo after structural relaxation. The functional is PBE.

a b c (Å): 6.629 6.629 6.629
angles (deg): 90.00 90.00 90.00
Space group F-43m (No. 216)
Unique sites:
Li (0.000, 0.000, 0.000)
Sm (0.000, 0.000, 0.500)
Mo (0.250, 0.250, 0.250)

Calculated values
For the energy above the most stable polymorph in this dataset, the calculation gives 0.0 meV/atom.